A plane-wave DFT calculation with PBE-GGA was carried out for an optimized crystal structure of NpH6.

a b c (Å): 4.309 4.309 3.099
angles (deg): 90.00 90.00 120.00
Atoms (fractional coordinates):
Np 0.000 0.000 0.000
H 0.000 0.500 0.351
H 0.000 0.500 0.649
H 0.500 0.000 0.351
H 0.500 0.000 0.649
H 0.500 0.500 0.351
H 0.500 0.500 0.649

total magnetic moment	0.674	μB per atom
DOS at the Fermi energy	7.519	states/eV per cell
ΔE to the lowest computed polymorph	137	meV per atom
calculated total energy	-4.34	eV/atom